{"formula": "MnTlO3", "functional": "PBE with a Hubbard U", "state": "relaxed", "spacegroup": "Pnma, No. 62", "crystal_system": "orthorhombic", "energy_ev_per_atom": -6.033, "lattice": [[5.529, 0.000, 0.000], [0.000, 8.049, 0.000], [0.000, 0.000, 5.380]], "species": ["Mn", "Mn", "Mn", "Mn", "Tl", "Tl", "Tl", "Tl", "O", "O", "O", "O", "O", "O", "O", "O", "O", "O", "O", "O"], "frac_coords": [[0.000, 0.000, 0.000], [0.000, 0.500, 0.000], [0.500, 0.000, 0.500], [0.500, 0.500, 0.500], [0.048, 0.250, 0.481], [0.452, 0.750, 0.981], [0.548, 0.250, 0.019], [0.952, 0.750, 0.519], [0.051, 0.750, 0.113], [0.206, 0.562, 0.702], [0.206, 0.938, 0.702], [0.294, 0.062, 0.202], [0.294, 0.438, 0.202], [0.449, 0.250, 0.613], [0.551, 0.750, 0.387], [0.706, 0.562, 0.798], [0.706, 0.938, 0.798], [0.794, 0.062, 0.298], [0.794, 0.438, 0.298], [0.949, 0.250, 0.887]]}


{"formula": "Mn2Tl2O7", "functional": "PBE with a Hubbard U", "state": "relaxed", "spacegroup": "Fd-3m, No. 227", "crystal_system": "cubic", "energy_ev_per_atom": -5.988, "lattice": [[0.000, 5.044, 5.044], [5.044, 0.000, 5.044], [5.044, 5.044, 0.000]], "species": ["Mn", "Mn", "Mn", "Mn", "Tl", "Tl", "Tl", "Tl", "O", "O", "O", "O", "O", "O", "O", "O", "O", "O", "O", "O", "O", "O"], "frac_coords": [[0.000, 0.000, 0.000], [0.000, 0.000, 0.500], [0.000, 0.500, 0.000], [0.500, 0.000, 0.000], [0.000, 0.500, 0.500], [0.500, 0.000, 0.500], [0.500, 0.500, 0.000], [0.500, 0.500, 0.500], [0.076, 0.076, 0.674], [0.076, 0.674, 0.076], [0.076, 0.674, 0.674], [0.326, 0.326, 0.924], [0.326, 0.924, 0.326], [0.326, 0.924, 0.924], [0.375, 0.375, 0.375], [0.625, 0.625, 0.625], [0.674, 0.076, 0.076], [0.674, 0.076, 0.674], [0.674, 0.674, 0.076], [0.924, 0.326, 0.326], [0.924, 0.326, 0.924], [0.924, 0.924, 0.326]]}